VASP calculation (PBE) on a relaxed structure of Ta3TiNb6.

## Properties
raw total energy: -207.7 eV for the cell shown
formation enthalpy at 0 K: 0.0014 eV per atom
crystal system: monoclinic
calculated volume: 181.05 Å³/f.u.

POSCAR file:
```
Ta3TiNb6
1.0
8.087 0.000 0.000
0.000 4.715 0.000
-2.714 0.000 9.498
Ta Ti Nb
6 2 12
direct
0.056 0.250 0.403
0.155 0.750 0.202
0.246 0.250 0.000
0.754 0.750 0.000
0.845 0.250 0.798
0.944 0.750 0.597
0.453 0.250 0.598
0.547 0.750 0.402
0.048 0.750 0.897
0.148 0.250 0.699
0.251 0.750 0.503
0.350 0.750 0.799
0.352 0.250 0.299
0.450 0.750 0.098
0.550 0.250 0.902
0.648 0.750 0.701
0.650 0.250 0.201
0.749 0.250 0.497
0.852 0.750 0.301
0.952 0.250 0.103
```


VASP calculation (PBE) on a relaxed structure of Ta4Ti2Nb.

## Properties
raw total energy: -73.1 eV for the cell shown
formation enthalpy at 0 K: 0.0273 eV per atom
crystal system: triclinic
calculated volume: 125.47 Å³/f.u.

POSCAR file:
```
Ta4Ti2Nb
1.0
2.844 0.000 0.000
-0.854 7.129 0.000
-0.925 -3.584 6.189
Ta Ti Nb
4 2 1
direct
0.135 0.069 0.353
0.264 0.640 0.215
0.736 0.360 0.785
0.865 0.931 0.647
0.488 0.221 0.074
0.512 0.779 0.926
0.000 0.500 0.500
```


VASP calculation (PBE) on a relaxed structure of Ta6TiNb2.

## Properties
raw total energy: -99.0 eV for the cell shown
formation enthalpy at 0 K: 0.0118 eV per atom
crystal system: triclinic
calculated volume: 162.94 Å³/f.u.

POSCAR file:
```
Ta6TiNb2
1.0
4.662 0.000 0.000
2.320 4.051 0.000
0.001 0.031 8.628
Ta Ti Nb
6 1 2
direct
0.001 0.001 0.330
0.332 0.332 0.785
0.333 0.333 0.115
0.667 0.667 0.885
0.668 0.668 0.215
0.999 0.999 0.670
0.000 0.000 0.000
0.333 0.333 0.448
0.667 0.667 0.552
```


VASP calculation (PBE) on a relaxed structure of Ta5TiNb4.

## Properties
raw total energy: -107.3 eV for the cell shown
formation enthalpy at 0 K: 0.0093 eV per atom
crystal system: tetragonal
calculated volume: 180.94 Å³/f.u.

POSCAR file:
```
Ta5TiNb4
1.0
3.319 0.000 0.000
0.000 3.319 0.000
0.000 0.000 16.424
Ta Ti Nb
5 1 4
direct
0.000 0.000 0.000
0.000 0.000 0.202
0.000 0.000 0.401
0.000 0.000 0.599
0.000 0.000 0.798
0.500 0.500 0.500
0.500 0.500 0.101
0.500 0.500 0.303
0.500 0.500 0.697
0.500 0.500 0.899
```


VASP calculation (PBE) on a relaxed structure of TaTi5Nb6.

## Properties
raw total energy: -111.1 eV for the cell shown
formation enthalpy at 0 K: 0.0497 eV per atom
crystal system: monoclinic
calculated volume: 211.51 Å³/f.u.

POSCAR file:
```
TaTi5Nb6
1.0
4.645 0.000 0.000
0.000 6.555 0.000
-2.293 0.000 6.947
Ta Ti Nb
1 5 6
direct
0.000 0.000 0.000
0.000 0.500 0.000
0.331 0.000 0.661
0.332 0.500 0.665
0.668 0.500 0.335
0.669 0.000 0.339
0.166 0.249 0.331
0.166 0.751 0.331
0.500 0.249 0.000
0.500 0.751 0.000
0.834 0.249 0.669
0.834 0.751 0.669
```


VASP calculation (PBE) on a relaxed structure of Ta2TiNb3.

## Properties
raw total energy: -121.6 eV for the cell shown
formation enthalpy at 0 K: 0.1680 eV per atom
crystal system: trigonal
calculated volume: 112.75 Å³/f.u.

POSCAR file:
```
Ta2TiNb3
1.0
5.438 0.000 0.000
-2.719 4.709 0.000
0.000 0.000 8.805
Ta Ti Nb
4 2 6
direct
0.000 0.000 0.000
0.000 0.000 0.500
0.333 0.667 0.439
0.667 0.333 0.561
0.333 0.667 0.064
0.667 0.333 0.936
0.171 0.343 0.749
0.171 0.829 0.749
0.343 0.171 0.251
0.657 0.829 0.749
0.829 0.171 0.251
0.829 0.657 0.251
```


VASP calculation (PBE) on a relaxed structure of Ta4Ti2Nb5.

## Properties
raw total energy: -113.5 eV for the cell shown
formation enthalpy at 0 K: 0.0028 eV per atom
crystal system: triclinic
calculated volume: 198.04 Å³/f.u.

POSCAR file:
```
Ta4Ti2Nb5
1.0
2.827 0.000 0.000
-0.923 7.175 0.000
-0.953 -0.632 9.764
Ta Ti Nb
4 2 5
direct
0.110 0.318 0.452
0.166 0.135 0.910
0.834 0.865 0.090
0.890 0.682 0.548
0.382 0.775 0.818
0.618 0.225 0.182
0.000 0.500 0.000
0.280 0.954 0.363
0.437 0.589 0.272
0.563 0.411 0.728
0.720 0.046 0.637
```


VASP calculation (PBE) on a relaxed structure of TaTi3Nb.

## Properties
raw total energy: -90.8 eV for the cell shown
formation enthalpy at 0 K: 0.0450 eV per atom
crystal system: monoclinic
calculated volume: 87.92 Å³/f.u.

POSCAR file:
```
TaTi3Nb
1.0
8.369 -1.658 0.000
8.369 1.658 0.000
-1.461 0.000 6.336
Ta Ti Nb
2 6 2
direct
0.196 0.196 0.357
0.804 0.804 0.643
0.004 0.004 0.225
0.204 0.204 0.838
0.408 0.408 0.449
0.592 0.592 0.551
0.796 0.796 0.162
0.996 0.996 0.775
0.394 0.394 0.962
0.606 0.606 0.038
```


VASP calculation (PBE) on a relaxed structure of TaTi2Nb8.

## Properties
raw total energy: -108.2 eV for the cell shown
formation enthalpy at 0 K: 0.0021 eV per atom
crystal system: triclinic
calculated volume: 198.01 Å³/f.u.

POSCAR file:
```
TaTi2Nb8
1.0
4.705 0.000 0.000
-2.336 6.747 0.000
-0.013 -3.501 6.238
Ta Ti Nb
1 2 8
direct
0.000 0.000 0.000
0.272 0.541 0.361
0.728 0.459 0.639
0.091 0.182 0.457
0.181 0.363 0.902
0.366 0.732 0.821
0.459 0.916 0.276
0.541 0.084 0.724
0.634 0.268 0.179
0.819 0.637 0.098
0.909 0.818 0.543
```


VASP calculation (PBE) on a relaxed structure of Ta3TiNb2.

## Properties
raw total energy: -123.9 eV for the cell shown
formation enthalpy at 0 K: 0.2705 eV per atom
crystal system: orthorhombic
calculated volume: 112.60 Å³/f.u.

POSCAR file:
```
Ta3TiNb2
1.0
4.189 -4.755 0.000
4.189 4.755 0.000
0.000 0.000 5.653
Ta Ti Nb
6 2 4
direct
0.000 0.000 0.000
0.000 0.000 0.500
0.334 0.334 0.000
0.334 0.334 0.500
0.666 0.666 0.000
0.666 0.666 0.500
0.267 0.733 0.750
0.733 0.267 0.250
0.072 0.598 0.250
0.402 0.928 0.250
0.598 0.072 0.750
0.928 0.402 0.750
```


VASP calculation (PBE) on a relaxed structure of TaTi2Nb.

## Properties
raw total energy: -37.1 eV for the cell shown
formation enthalpy at 0 K: 0.1451 eV per atom
crystal system: trigonal
calculated volume: 72.20 Å³/f.u.

POSCAR file:
```
TaTi2Nb
1.0
1.473 0.850 9.610
-1.473 0.850 9.610
0.000 -1.701 9.610
Ta Ti Nb
1 2 1
direct
0.000 0.000 0.000
0.251 0.251 0.251
0.749 0.749 0.749
0.500 0.500 0.500
```


VASP calculation (PBE) on a relaxed structure of Ta4Ti2Nb3.

## Properties
raw total energy: -184.5 eV for the cell shown
formation enthalpy at 0 K: 0.1274 eV per atom
crystal system: monoclinic
calculated volume: 164.03 Å³/f.u.

POSCAR file:
```
Ta4Ti2Nb3
1.0
4.258 -4.937 0.000
4.258 4.937 0.000
-1.383 0.000 7.802
Ta Ti Nb
8 4 6
direct
0.070 0.818 0.917
0.152 0.401 0.414
0.182 0.930 0.583
0.401 0.152 0.914
0.599 0.848 0.086
0.818 0.070 0.417
0.848 0.599 0.586
0.930 0.182 0.083
0.267 0.514 0.088
0.486 0.733 0.412
0.514 0.267 0.588
0.733 0.486 0.912
0.043 0.294 0.755
0.294 0.043 0.255
0.375 0.625 0.750
0.625 0.375 0.250
0.706 0.957 0.745
0.957 0.706 0.245
```


VASP calculation (PBE) on a relaxed structure of Ta6TiNb2.

## Properties
raw total energy: -196.6 eV for the cell shown
formation enthalpy at 0 K: 0.0932 eV per atom
crystal system: orthorhombic
calculated volume: 164.24 Å³/f.u.

POSCAR file:
```
Ta6TiNb2
1.0
8.298 0.000 0.000
0.000 8.421 0.000
0.000 0.000 4.701
Ta Ti Nb
12 2 4
direct
0.005 0.164 0.000
0.167 0.062 0.500
0.171 0.402 0.500
0.329 0.902 0.000
0.333 0.562 0.000
0.495 0.664 0.500
0.505 0.336 0.500
0.667 0.438 0.000
0.671 0.098 0.000
0.829 0.598 0.500
0.833 0.938 0.500
0.995 0.836 0.000
0.000 0.500 0.000
0.500 0.000 0.500
0.160 0.732 0.500
0.340 0.232 0.000
0.660 0.768 0.000
0.840 0.268 0.500
```


VASP calculation (PBE) on a relaxed structure of Ta4TiNb4.

## Properties
raw total energy: -180.1 eV for the cell shown
formation enthalpy at 0 K: 0.6153 eV per atom
crystal system: tetragonal
calculated volume: 181.51 Å³/f.u.

POSCAR file:
```
Ta4TiNb4
1.0
5.943 0.000 0.000
0.000 5.943 0.000
0.000 0.000 10.278
Ta Ti Nb
8 2 8
direct
0.029 0.250 0.184
0.250 0.029 0.684
0.250 0.471 0.684
0.471 0.250 0.184
0.529 0.750 0.816
0.750 0.529 0.316
0.750 0.971 0.316
0.971 0.750 0.816
0.250 0.750 0.250
0.750 0.250 0.750
0.004 0.250 0.484
0.250 0.004 0.984
0.250 0.496 0.984
0.496 0.250 0.484
0.504 0.750 0.516
0.750 0.504 0.016
0.750 0.996 0.016
0.996 0.750 0.516
```


VASP calculation (PBE) on a relaxed structure of TaTi4Nb2.

## Properties
raw total energy: -63.3 eV for the cell shown
formation enthalpy at 0 K: 0.0329 eV per atom
crystal system: triclinic
calculated volume: 123.36 Å³/f.u.

POSCAR file:
```
TaTi4Nb2
1.0
2.861 0.000 0.000
-1.012 7.017 0.000
-0.622 -3.545 6.145
Ta Ti Nb
1 4 2
direct
0.000 0.000 0.000
0.329 0.711 0.147
0.348 0.578 0.710
0.652 0.422 0.290
0.671 0.289 0.853
0.114 0.859 0.569
0.886 0.141 0.431
```


VASP calculation (PBE) on a relaxed structure of Ta2Ti3Nb6.

## Properties
raw total energy: -104.5 eV for the cell shown
formation enthalpy at 0 K: 0.2998 eV per atom
crystal system: orthorhombic
calculated volume: 204.00 Å³/f.u.

POSCAR file:
```
Ta2Ti3Nb6
1.0
-2.625 4.305 4.512
2.625 -4.305 4.512
2.625 4.305 -4.512
Ta Ti Nb
2 3 6
direct
0.000 0.248 0.248
0.000 0.752 0.752
0.276 0.776 0.500
0.500 0.500 0.000
0.724 0.224 0.500
0.103 0.287 0.816
0.301 0.000 0.301
0.471 0.287 0.184
0.529 0.713 0.816
0.699 0.000 0.699
0.897 0.713 0.184
```


VASP calculation (PBE) on a relaxed structure of Ta2Ti4Nb3.

## Properties
raw total energy: -169.1 eV for the cell shown
formation enthalpy at 0 K: 0.1042 eV per atom
crystal system: monoclinic
calculated volume: 160.67 Å³/f.u.

POSCAR file:
```
Ta2Ti4Nb3
1.0
6.662 -4.909 0.000
6.662 4.909 0.000
-0.762 0.000 4.912
Ta Ti Nb
4 8 6
direct
0.012 0.763 0.692
0.237 0.988 0.808
0.763 0.012 0.192
0.988 0.237 0.308
0.099 0.351 0.858
0.318 0.570 0.975
0.351 0.099 0.358
0.430 0.682 0.525
0.570 0.318 0.475
0.649 0.901 0.642
0.682 0.430 0.025
0.901 0.649 0.142
0.126 0.874 0.250
0.210 0.459 0.419
0.459 0.210 0.919
0.541 0.790 0.081
0.790 0.541 0.581
0.874 0.126 0.750
```


VASP calculation (PBE) on a relaxed structure of Ta2TiNb4.

## Properties
raw total energy: -70.3 eV for the cell shown
formation enthalpy at 0 K: 0.2212 eV per atom
crystal system: orthorhombic
calculated volume: 129.99 Å³/f.u.

POSCAR file:
```
Ta2TiNb4
1.0
1.711 -11.651 0.000
1.711 11.651 0.000
0.000 0.000 3.261
Ta Ti Nb
2 1 4
direct
0.204 0.796 0.000
0.796 0.204 0.000
0.500 0.500 0.500
0.070 0.930 0.000
0.360 0.640 0.500
0.640 0.360 0.500
0.930 0.070 0.000
```


VASP calculation (PBE) on a relaxed structure of Ta4TiNb3.

## Properties
raw total energy: -85.4 eV for the cell shown
formation enthalpy at 0 K: 0.0087 eV per atom
crystal system: orthorhombic
calculated volume: 144.59 Å³/f.u.

POSCAR file:
```
Ta4TiNb3
1.0
3.319 0.000 0.000
0.000 4.673 0.000
0.000 0.000 9.321
Ta Ti Nb
4 1 3
direct
0.000 0.000 0.000
0.000 0.000 0.500
0.000 0.500 0.248
0.000 0.500 0.752
0.500 0.500 0.500
0.500 0.000 0.256
0.500 0.000 0.744
0.500 0.500 0.000
```


VASP calculation (PBE) on a relaxed structure of Ta2TiNb3.

## Properties
raw total energy: -123.6 eV for the cell shown
formation enthalpy at 0 K: 0.0038 eV per atom
crystal system: monoclinic
calculated volume: 108.10 Å³/f.u.

POSCAR file:
```
Ta2TiNb3
1.0
6.988 -2.335 0.000
6.988 2.335 0.000
-4.712 0.000 6.625
Ta Ti Nb
4 2 6
direct
0.040 0.040 0.374
0.290 0.290 0.625
0.710 0.710 0.375
0.960 0.960 0.626
0.373 0.373 0.371
0.627 0.627 0.629
0.124 0.124 0.123
0.209 0.209 0.878
0.459 0.459 0.127
0.541 0.541 0.873
0.791 0.791 0.122
0.876 0.876 0.877
```